The following is a PBEsol calculation of a relaxed structure of RePI2N, from Alexandria via LeMat-Bulk.

Lattice parameters (Å, degrees): 3.7395 5.3771 5.3771 90.00 90.00 90.00
Last column: nearest neighbours and their distance in Å.
Atoms (fractional coordinates):
I 0.0000 0.5000 0.0000  2 Re 2.69
I 0.0000 0.0000 0.5000  2 Re 2.69
Re 0.0000 0.0000 0.0000  2 N 1.87
N 0.5000 0.0000 0.0000  2 Re 1.87
P 0.5000 0.5000 0.5000  8 I 3.27

Properties
The density of states at the Fermi level is 3.97 states/eV/cell. Its total energy is -0.4001 Ry/atom. As for the energy relative to the elements, uncorrected: 0.79 eV per atom.

---

The following is a PBEsol calculation of a relaxed structure of SbPI2N, from Alexandria via LeMat-Bulk.

Lattice parameters (Å, degrees): 3.4183 5.7919 5.7919 90.00 90.00 90.00
Last column: nearest neighbours and their distance in Å.
Atoms (fractional coordinates):
Sb 0.5000 0.5000 0.5000  8 I 3.36, 2 Sb 3.42
N 0.5000 0.0000 0.0000  2 P 1.71
I 0.0000 0.0000 0.5000  2 P 2.90
I 0.0000 0.5000 0.0000  2 P 2.90
P 0.0000 0.0000 0.0000  2 N 1.71

Properties
The density of states at the Fermi level is 3.01 states/eV/cell. Its total energy is -0.2911 Ry/atom. As for the energy relative to the elements, uncorrected: 0.52 eV per atom.